Entry from Alexandria via LeMat-Bulk: a relaxed structure of Th3GaB2Rh9 (PBE).

a b c (Å): 6.1624 6.1624 7.6399
angles (deg): 90.00 90.00 120.00
Element x y z (fractional)
Rh 0.0000 0.5000 0.0000
Rh 0.8221 0.6442 0.6872
Rh 0.3558 0.1779 0.6872
Ga 0.0000 0.0000 0.5000
Rh 0.1779 0.3558 0.3128
Rh 0.1779 0.8221 0.3128
Rh 0.6442 0.8221 0.3128
B 0.3333 0.6667 0.1479
Th 0.6667 0.3333 0.3380
Rh 0.8221 0.1779 0.6872
B 0.6667 0.3333 0.8521
Th 0.0000 0.0000 0.0000
Th 0.3333 0.6667 0.6620
Rh 0.5000 0.5000 0.0000
Rh 0.5000 0.0000 0.0000

## Properties
- energy relative to the elements (meV/atom) = -801
- space-group type = No. 164



Entry from Alexandria via LeMat-Bulk: a relaxed structure of SrHgPb2 (PBE).

a b c (Å): 6.4708 6.4708 4.7579
angles (deg): 68.47 68.47 43.16
Element x y z (fractional)
Hg 0.2500 0.2500 0.2500
Pb 0.5003 0.5003 0.4998
Pb 0.9997 0.9997 0.0002
Sr 0.7500 0.7500 0.7500

## Properties
- energy relative to the elements (meV/atom) = -308
- space-group type = No. 139



Entry from Alexandria via LeMat-Bulk: a relaxed structure of CdTcIr2 (PBE).

a b c (Å): 2.7612 3.9211 5.8944
angles (deg): 90.00 90.00 90.00
Element x y z (fractional)
Cd 0.5000 0.5000 0.7550
Ir 0.0000 0.0000 0.0203
Tc 0.0000 0.0000 0.4623
Ir 0.5000 0.5000 0.2624

## Properties
- energy relative to the elements (meV/atom) = 217
- space-group type = No. 25



Entry from Alexandria via LeMat-Bulk: a relaxed structure of Y2PaReC4 (PBE).

a b c (Å): 3.4547 6.1730 12.2359
angles (deg): 90.00 90.00 106.25
Element x y z (fractional)
C 0.2719 0.5437 0.1346
Pa 0.9049 0.8098 0.2500
Y 0.6306 0.2613 0.4599
Pa 0.0951 0.1902 0.7500
Y 0.3694 0.7387 0.9599
Y 0.3694 0.7387 0.5401
C 0.0000 0.0000 0.0000
C 0.7281 0.4563 0.8654
C 0.4375 0.8749 0.7500
C 0.7281 0.4563 0.6346
Re 0.8359 0.6717 0.7500
C 0.5625 0.1251 0.2500
C 0.2719 0.5437 0.3654
Y 0.6306 0.2613 0.0401
Re 0.1641 0.3283 0.2500
C 0.0000 0.0000 0.5000

## Properties
- energy relative to the elements (meV/atom) = -54
- space-group type = No. 63



Entry from Alexandria via LeMat-Bulk: a relaxed structure of Al8Ga2Os (PBE).

a b c (Å): 4.2278 5.6465 9.2492
angles (deg): 115.49 103.21 90.00
Element x y z (fractional)
Al 0.0060 0.7563 0.0120
Ga 0.1909 0.7858 0.3818
Al 0.3660 0.0361 0.7319
Al 0.6196 0.4482 0.2391
Al 0.3804 0.5518 0.7609
Ga 0.8091 0.2142 0.6182
Al 0.9940 0.2437 0.9880
Al 0.6340 0.9639 0.2681
Os 0.5000 0.0000 0.0000
Al 0.7895 0.6737 0.5790
Al 0.2105 0.3263 0.4210

## Properties
- energy relative to the elements (meV/atom) = -63
- space-group type = No. 12



Entry from Alexandria via LeMat-Bulk: a relaxed structure of Pm2HoTe2 (PBE).

a b c (Å): 4.0661 6.2479 7.4250
angles (deg): 114.88 105.89 90.00
Element x y z (fractional)
Te 0.6764 0.1764 0.3528
Ho 0.0000 0.0000 0.0000
Pm 0.3615 0.3615 0.7229
Pm 0.6385 0.6385 0.2771
Te 0.3236 0.8236 0.6472

## Properties
- uncorrected formation energy (eV per formula unit) = -4.72
- space-group type = No. 71



Result set for Fermi-level density of states: 2.37 2.61 4.54 7.60 4.23 4.02 states/eV per cell, one per record in the order listed.